[1]
SmPaNiN3 after structural relaxation. Source: Alexandria via LeMat-Bulk, functional PBE.

Properties
Its uncorrected formation energy is -1073 meV/atom. As for the magnetization: 0.00 μB/f.u.

Cell lengths 7.1542, 3.4500, 7.1964 Å; angles 90.00, 100.30, 90.00 degrees
Last column: nearest neighbours and their distance in Å.
Space group P2_1/m (No. 11)
Inequivalent atoms, fractional coordinates:
Sm: 0.1703 0.2500 0.2128 x2  7 N 2.47-2.74, 1 Ni 2.73
Pa: 0.3360 0.7500 0.8175 x2  6 N 2.32-2.44
Ni: 0.0991 0.2500 0.5729 x2  4 N 1.99-2.07
N: 0.1304 0.2500 0.8648 x2  1 Ni 2.07
N: 0.1897 0.7500 0.4844 x2  3 Ni 1.99-2.03
N: 0.4338 0.7500 0.1427 x2  3 Pa 2.32-2.37

[2]
Sr2AlCr after structural relaxation. Source: Alexandria via LeMat-Bulk, functional PBE.

Properties
The value obtained for the calculated formation energy is 0.20 eV per atom. As for the magnetization: 3.76 μB/f.u.

Cell lengths 4.6256, 4.6256, 23.9012 Å; angles 90.00, 90.00, 120.00 degrees
Last column: nearest neighbours and their distance in Å.
Space group R3m (No. 160, hexagonal axes)
Inequivalent atoms, fractional coordinates:
Sr: 0.0000 0.0000 0.0000 x3  3 Al 3.39, 3 Cr 3.40
Sr: 0.0000 0.0000 0.1754 x3  3 Cr 3.39, 3 Al 3.40
Al: 0.0000 0.0000 0.4207 x3  3 Cr 2.67
Cr: 0.0000 0.0000 0.7545 x3  3 Al 2.67

[3]
BaTaHgC2 after structural relaxation. Source: Alexandria via LeMat-Bulk, functional PBE.

Properties
The value obtained for the calculated formation energy is 3.10 eV per atom. As for the magnetization: 0.04 μB/f.u.

Cell lengths 4.4511, 4.4511, 5.8237 Å; angles 90.00, 90.00, 90.00 degrees
Last column: nearest neighbours and their distance in Å.
Space group P4/mmm (No. 123)
Inequivalent atoms, fractional coordinates:
Ba: 0.0000 0.0000 0.0000 x1  2 Hg 2.91, 4 Ta 3.15
Ta: 0.5000 0.5000 0.0000 x1  4 Ba 3.15
Hg: 0.0000 0.0000 0.5000 x1  4 C 2.23
C: 0.0000 0.5000 0.5000 x2  2 Hg 2.23

[4]
YCd2Pb after structural relaxation. Source: Alexandria via LeMat-Bulk, functional PBE.

Properties
The value obtained for the calculated formation energy is -0.18 eV per atom. As for the magnetization: 0.30 μB/f.u.

Cell lengths 3.6201, 3.6201, 8.1380 Å; angles 90.00, 90.00, 90.00 degrees
Last column: nearest neighbours and their distance in Å.
Space group P4/mmm (No. 123)
Inequivalent atoms, fractional coordinates:
Y: 0.0000 0.0000 0.0000 x1  8 Cd 3.25, 4 Y 3.62
Cd: 0.5000 0.5000 0.2459 x2  4 Y 3.25, 4 Pb 3.29, 4 Cd 3.62
Pb: 0.0000 0.0000 0.5000 x1  8 Cd 3.29, 4 Pb 3.62

[5]
Y2ZrRu after structural relaxation. Source: Alexandria via LeMat-Bulk, functional PBE.

Properties
The calculation puts the distance to the lowest polymorph of the same formula at 0.3955 eV per atom. The value obtained for the calculated formation energy is 0.16 eV per atom. As for the magnetization: 0.00 μB/f.u.

Cell lengths 4.2374, 4.2374, 10.1384 Å; angles 90.00, 90.00, 90.00 degrees
Last column: nearest neighbours and their distance in Å.
Space group I4/mmm (No. 139)
Inequivalent atoms, fractional coordinates:
Y: 0.0000 0.5000 0.2500 x4  4 Y 3.00, 4 Zr 3.30, 4 Ru 3.30
Zr: 0.0000 0.0000 0.0000 x2  4 Ru 3.00, 8 Y 3.30
Ru: 0.0000 0.0000 0.5000 x2  4 Zr 3.00, 8 Y 3.30

[6]
AcLuRu2 after structural relaxation. Source: Alexandria via LeMat-Bulk, functional PBE.

Properties
The calculation puts the distance to the lowest polymorph of the same formula at 0.0153 eV per atom. The value obtained for the calculated formation energy is -0.11 eV per atom. As for the magnetization: 0.00 μB/f.u.

Cell lengths 3.5024, 3.5024, 7.0016 Å; angles 90.00, 90.00, 90.00 degrees
Last column: nearest neighbours and their distance in Å.
Space group P4/mmm (No. 123)
Inequivalent atoms, fractional coordinates:
Ac: 0.0000 0.0000 0.0000 x1  8 Ru 3.12
Lu: 0.0000 0.0000 0.5000 x1  8 Ru 2.95
Ru: 0.5000 0.5000 0.2703 x2  4 Lu 2.95, 4 Ac 3.12, 1 Ru 3.22

[7]
Cr2ReSbS after structural relaxation. Source: Alexandria via LeMat-Bulk, functional PBE.

Properties
Its uncorrected formation energy is 2100 meV/atom. As for the magnetization: 12.72 μB/f.u.

Cell lengths 5.0922, 5.0922, 5.1519 Å; angles 90.00, 90.00, 90.00 degrees
Last column: nearest neighbours and their distance in Å.
Space group P4/mmm (No. 123)
Inequivalent atoms, fractional coordinates:
Cr: 0.0000 0.5000 0.0000 x2  2 Sb 2.55
Re: 0.0000 0.0000 0.5000 x1  4 S 3.60, 8 Cr 3.62
Sb: 0.5000 0.5000 0.0000 x1  4 Cr 2.55, 2 S 2.58
S: 0.5000 0.5000 0.5000 x1  2 Sb 2.58

[8]
CsTbHg2 after structural relaxation. Source: Alexandria via LeMat-Bulk, functional PBE.

Properties
The value obtained for the calculated formation energy is -0.24 eV per atom. As for the magnetization: 0.00 μB/f.u.

Cell lengths 3.8788, 3.8788, 8.9714 Å; angles 90.00, 90.00, 90.00 degrees
Last column: nearest neighbours and their distance in Å.
Space group P4/mmm (No. 123)
Inequivalent atoms, fractional coordinates:
Cs: 0.0000 0.0000 0.0000 x1  4 Cs 3.88, 8 Hg 3.95
Tb: 0.0000 0.0000 0.5000 x1  8 Hg 3.20
Hg: 0.5000 0.5000 0.3161 x2  4 Tb 3.20, 1 Hg 3.30